Entry 1:
# InRu3Pb, relaxed, DFT GGA-PBE
data_InRu3Pb
_chemical_formula_sum 'In1 Ru3 Pb1'
_space_group_name_H-M_alt 'P m -3 m'
_space_group_IT_number 221
_space_group_name_Hall '-P 4 2 3'
_cell_length_a 4.9103
_cell_length_b 4.9103
_cell_length_c 4.9103
_cell_angle_alpha 90.00
_cell_angle_beta 90.00
_cell_angle_gamma 90.00
loop_
_atom_site_label
_atom_site_fract_x
_atom_site_fract_y
_atom_site_fract_z
In1 0.0000 0.0000 0.0000
Ru1 0.0000 0.0000 0.5000
Pb1 0.5000 0.5000 0.5000
# - D(E_F): 7.53 states/eV/f.u.
# - ΔE to the lowest computed polymorph: 0 meV per atom

Entry 2:
# AgPSe2Br, relaxed, DFT GGA-PBE
data_AgPSe2Br
_chemical_formula_sum 'Ag1 P1 Se2 Br1'
_space_group_name_H-M_alt 'P 4/m m m'
_space_group_IT_number 123
_space_group_name_Hall '-P 4 2'
_cell_length_a 4.8293
_cell_length_b 4.8293
_cell_length_c 5.2449
_cell_angle_alpha 90.00
_cell_angle_beta 90.00
_cell_angle_gamma 90.00
loop_
_atom_site_label
_atom_site_fract_x
_atom_site_fract_y
_atom_site_fract_z
Ag1 0.0000 0.0000 0.0000
P1 0.5000 0.5000 0.5000
Se1 0.0000 0.5000 0.5000
Br1 0.5000 0.5000 0.0000
# - D(E_F): 4.07 states/eV/f.u.
# - ΔE to the lowest computed polymorph: 0 meV per atom

Entry 3:
# TmF5, relaxed, DFT GGA-PBE
data_TmF5
_chemical_formula_sum 'Tm2 F10'
_space_group_name_H-M_alt 'C m m m'
_space_group_IT_number 65
_space_group_name_Hall '-C 2 2'
_cell_length_a 3.7933
_cell_length_b 9.5290
_cell_length_c 3.9350
_cell_angle_alpha 90.00
_cell_angle_beta 90.00
_cell_angle_gamma 90.00
loop_
_atom_site_label
_atom_site_fract_x
_atom_site_fract_y
_atom_site_fract_z
Tm1 0.0000 0.0000 0.0000
F1 0.0000 0.1315 0.5000
F2 0.0000 0.3659 0.0000
F3 0.0000 0.5000 0.5000
# - D(E_F): 2.36 states/eV/f.u.
# - Raw total energy: -4.753 eV/atom

Q: Which value of D(E_F) does entry 1 give?
A: 7.53 states/eV/f.u.